No. 1
Density functional theory data (PBE-GGA) for a geometry-optimized CdFeBW structure.

Lattice parameters (Å, degrees): 4.2459 4.2459 4.2459 60.00 60.00 60.00
Positions (direct):
Cd 0.0000 0.0000 0.0000
Fe 0.7500 0.7500 0.7500
B 0.5000 0.5000 0.5000
W 0.2500 0.2500 0.2500

Output
**Relative energy among the computed polymorphs**: 0.00 eV/f.u.



No. 2
Density functional theory data (PBE-GGA) for a geometry-optimized TbTmCu2Pb structure.

Lattice parameters (Å, degrees): 3.6580 7.2921 7.2921 33.57 90.00 90.00
Positions (direct):
Tb 0.0000 0.0000 0.0000
Tm 0.0000 0.7292 0.7292
Cu 0.5000 0.1632 0.1632
Cu 0.5000 0.5703 0.5703
Pb 0.5000 0.3640 0.3640

Output
**DFT total energy**: -22.1 eV for the cell shown



No. 3
Density functional theory data (PBE-GGA) for a geometry-optimized AlCdGaTe2Se2 structure.

Lattice parameters (Å, degrees): 6.0435 6.0851 7.0688 114.18 114.61 90.12
Positions (direct):
Al 0.0000 0.0000 0.0000
Cd 0.5016 0.4651 0.0022
Ga 0.7698 0.2270 0.5006
Te 0.3657 0.8754 0.2821
Te 0.6190 0.6187 0.7193
Se 0.1081 0.0800 0.7354
Se 0.9086 0.3475 0.2659

Output
**DFT total energy**: -24.9 eV for the cell shown



No. 4
Density functional theory data (PBE-GGA) for a geometry-optimized TmTa2 structure.

Lattice parameters (Å, degrees): 5.7016 5.7016 5.7016 60.00 60.00 60.00
Positions (direct):
Tm 0.1250 0.1250 0.1250
Tm 0.8750 0.8750 0.8750
Ta 0.0000 0.5000 0.5000
Ta 0.5000 0.0000 0.5000
Ta 0.5000 0.5000 0.0000
Ta 0.5000 0.5000 0.5000

Output
**Formation energy**: 0.72 eV/f.u.
**Relative energy among the computed polymorphs**: 0.00 eV/f.u.